Entry 1:
{
  "formula": "SmOsW",
  "functional": "PBE-GGA",
  "state": "optimized geometry",
  "cell": [[0.000, 3.181, 3.181], [3.181, 0.000, 3.181], [3.181, 3.181, 0.000]],
  "species": ["Sm", "Os", "W"],
  "fractional_positions": [[0.000, 0.000, 0.000], [0.500, 0.500, 0.500], [0.750, 0.750, 0.750]],
  "final_energy_ev_per_atom": -8.830,
  "volume_a3_per_cell": 64.4,
  "formation_energy_mev_per_atom": 802
}


Entry 2:
{
  "formula": "HfAl2Re",
  "functional": "PBE-GGA",
  "state": "optimized geometry",
  "cell": [[0.000, 3.193, 3.193], [3.193, 0.000, 3.193], [3.193, 3.193, 0.000]],
  "species": ["Hf", "Al", "Al", "Re"],
  "fractional_positions": [[0.000, 0.000, 0.000], [0.500, 0.500, 0.500], [0.750, 0.750, 0.750], [0.250, 0.250, 0.250]],
  "final_energy_ev_per_atom": -7.670,
  "volume_a3_per_cell": 65.1
}


Entry 3:
{
  "formula": "LaHfAg",
  "functional": "PBE-GGA",
  "state": "optimized geometry",
  "cell": [[0.000, 3.500, 3.500], [3.500, 0.000, 3.500], [3.500, 3.500, 0.000]],
  "species": ["La", "Hf", "Ag"],
  "fractional_positions": [[0.000, 0.000, 0.000], [0.500, 0.500, 0.500], [0.750, 0.750, 0.750]],
  "final_energy_ev_per_atom": -5.431,
  "volume_a3_per_cell": 85.7,
  "formation_energy_mev_per_atom": 469
}


Repeat the second record exactly.
{
  "formula": "HfAl2Re",
  "functional": "PBE-GGA",
  "state": "optimized geometry",
  "cell": [[0.000, 3.193, 3.193], [3.193, 0.000, 3.193], [3.193, 3.193, 0.000]],
  "species": ["Hf", "Al", "Al", "Re"],
  "fractional_positions": [[0.000, 0.000, 0.000], [0.500, 0.500, 0.500], [0.750, 0.750, 0.750], [0.250, 0.250, 0.250]],
  "final_energy_ev_per_atom": -7.670,
  "volume_a3_per_cell": 65.1
}